Record 1
VASP calculation (GGA-PBE) on a relaxed structure of SrLi2Hg2.

## Properties
Offset from the most stable computed form (eV/f.u.): 0.27

Cell lengths 5.7751, 6.0824, 8.7607 Å; angles 81.25, 71.02, 61.78 degrees
Space group P-1 (No. 2)
Unique sites:
Sr 0.1245 0.2497 0.2502 [2 per cell]
Li 0.2585 0.7506 0.9833 [2 per cell]
Li 0.4921 0.7507 0.5163 [2 per cell]
Hg 0.1926 0.1128 0.7505 [2 per cell]
Hg 0.4426 0.6115 0.2506 [2 per cell]


Record 2
VASP calculation (GGA-PBE) on a relaxed structure of RbTlV2Re.

Cell lengths 4.5435, 4.5435, 4.8563 Å; angles 90.00, 90.00, 90.00 degrees
Space group P4/mmm (No. 123)
Unique sites:
Rb 0.0000 0.0000 0.0000 [1 per cell]
Tl 0.5000 0.5000 0.5000 [1 per cell]
V 0.0000 0.5000 0.0000 [2 per cell]
Re 0.0000 0.0000 0.5000 [1 per cell]


no.,E_form (eV per formula unit),size of the total moment (μB/atom)
1,-1.63,0.000
2,14.78,0.000